# TlCuPS2, relaxed, DFT PBE
# - Uncorrected formation energy: 1329 meV per atom
# - Crystal system: tetragonal
data_TlCuPS2
_chemical_formula_sum 'Tl1 Cu1 P1 S2'
_cell_length_a 5.171
_cell_length_b 5.171
_cell_length_c 5.129
_cell_angle_alpha 90.00
_cell_angle_beta 90.00
_cell_angle_gamma 90.00
_symmetry_space_group_name_H-M 'P 4/m m m'
_symmetry_Int_Tables_number 123
_symmetry_space_group_name_Hall '-P 4 2'
loop_
_atom_site_label
_atom_site_fract_x
_atom_site_fract_y
_atom_site_fract_z
Tl1 0.000 0.000 0.000
Cu1 0.500 0.500 0.500
P1 0.000 0.000 0.500
S1 0.000 0.500 0.000